Below is a geometry-optimized SrHo4Pd5 structure, with properties calculated at the PBE level.

Output
Magnetic moment ... 0.000 μB/atom
DFT formation energy ... -847.0 meV/atom
VASP energy ... -0.400 Ry per atom
Symmetry ... No. 123

a = 3.518 Å, b = 3.518 Å, c = 17.962 Å
α = 90.00°, β = 90.00°, γ = 90.00°
Fractional coordinates of all 10 atoms:
Sr 0.000 0.000 0.000
Ho 0.000 0.000 0.208
Ho 0.000 0.000 0.403
Ho 0.000 0.000 0.597
Ho 0.000 0.000 0.792
Pd 0.500 0.500 0.124
Pd 0.500 0.500 0.308
Pd 0.500 0.500 0.500
Pd 0.500 0.500 0.692
Pd 0.500 0.500 0.876

---

Below is a geometry-optimized TbTm2ZrN4 structure, with properties calculated at the PBE level.

Output
Magnetic moment ... 0.000 μB/atom
VASP energy ... -0.639 Ry per atom
Symmetry ... No. 10
Uncorrected formation energy ... -1771.5 meV per atom

a = 5.848 Å, b = 3.377 Å, c = 5.862 Å
α = 90.00°, β = 109.29°, γ = 90.00°
Fractional coordinates of all 8 atoms:
Tb 0.000 0.000 0.000
Tm 0.500 0.000 0.500
Tm 0.500 0.500 0.000
Zr 0.000 0.500 0.500
N 0.244 0.000 0.739
N 0.249 0.500 0.260
N 0.751 0.500 0.740
N 0.756 0.000 0.261

---

Below is a geometry-optimized Li4HgPt structure, with properties calculated at the PBE level.

Output
Magnetic moment ... 0.000 μB/atom
DFT formation energy ... -215.8 meV/atom
VASP energy ... -0.187 Ry per atom
Symmetry ... No. 12
ΔE to the lowest computed polymorph ... 0.160 eV/atom

a = 4.303 Å, b = 4.303 Å, c = 7.890 Å
α = 107.31°, β = 107.31°, γ = 60.07°
Fractional coordinates of all 6 atoms:
Li 0.110 0.110 0.337
Li 0.366 0.366 0.092
Li 0.634 0.634 0.908
Li 0.890 0.890 0.663
Hg 0.500 0.500 0.500
Pt 0.000 0.000 0.000

---

Below is a geometry-optimized YIrRu2 structure, with properties calculated at the PBE level.

Output
Magnetic moment ... 0.000 μB/atom
DFT formation energy ... 149.6 meV/atom
VASP energy ... -0.611 Ry per atom
Symmetry ... No. 10
ΔE to the lowest computed polymorph ... 0.162 eV/atom

a = 2.921 Å, b = 4.611 Å, c = 5.174 Å
α = 90.00°, β = 99.70°, γ = 90.00°
Fractional coordinates of all 4 atoms:
Y 0.000 0.000 0.000
Ir 0.500 0.000 0.500
Ru 0.327 0.500 0.717
Ru 0.673 0.500 0.283

---

Below is a geometry-optimized BaSr2Pb structure, with properties calculated at the PBE level.

Output
Magnetic moment ... 0.223 μB/atom
DFT formation energy ... -251.2 meV/atom
VASP energy ... -0.184 Ry per atom
Symmetry ... No. 44

a = 7.590 Å, b = 7.590 Å, c = 7.590 Å
α = 144.95°, β = 133.05°, γ = 59.91°
Fractional coordinates of all 4 atoms:
Ba 0.000 0.000 0.000
Sr 0.298 0.798 0.500
Sr 0.595 0.595 0.000
Pb 0.789 0.289 0.500

---

Below is a geometry-optimized TbDy2ErIn4 structure, with properties calculated at the PBE level.

Output
Magnetic moment ... 0.000 μB/atom
DFT formation energy ... -461.1 meV/atom
VASP energy ... -0.304 Ry per atom
Symmetry ... No. 166

a = 9.209 Å, b = 9.209 Å, c = 9.209 Å
α = 33.49°, β = 33.49°, γ = 33.49°
Fractional coordinates of all 8 atoms:
Tb 0.000 0.000 0.000
Dy 0.250 0.250 0.250
Dy 0.750 0.750 0.750
Er 0.500 0.500 0.500
In 0.125 0.125 0.125
In 0.375 0.375 0.375
In 0.625 0.625 0.625
In 0.875 0.875 0.875

---

Below is a geometry-optimized Pm10SmEr6 structure, with properties calculated at the PBE level.

Output
Magnetic moment ... 0.000 μB/atom
DFT formation energy ... 131.1 meV/atom
VASP energy ... -0.335 Ry per atom
Symmetry ... No. 162

a = 9.787 Å, b = 9.787 Å, c = 6.876 Å
α = 90.00°, β = 90.00°, γ = 120.00°
Fractional coordinates of all 17 atoms:
Pm 0.000 0.277 0.318
Pm 0.000 0.723 0.682
Pm 0.277 0.000 0.318
Pm 0.277 0.277 0.682
Pm 0.333 0.667 0.000
Pm 0.333 0.667 0.500
Pm 0.667 0.333 0.000
Pm 0.667 0.333 0.500
Pm 0.723 0.000 0.682
Pm 0.723 0.723 0.318
Sm 0.000 0.000 0.000
Er 0.000 0.371 0.810
Er 0.000 0.629 0.190
Er 0.371 0.000 0.810
Er 0.371 0.371 0.190
Er 0.629 0.000 0.190
Er 0.629 0.629 0.810

---

Below is a geometry-optimized Sr3PuPa2P6 structure, with properties calculated at the PBE level.

Output
Magnetic moment ... 0.488 μB/atom
DFT formation energy ... -1205.5 meV/atom
VASP energy ... -0.522 Ry per atom
Symmetry ... No. 12

a = 7.196 Å, b = 7.196 Å, c = 7.321 Å
α = 99.43°, β = 99.43°, γ = 119.99°
Fractional coordinates of all 12 atoms:
Sr 0.000 0.000 0.000
Sr 0.335 0.665 0.000
Sr 0.665 0.335 0.000
Pu 0.500 0.500 0.500
Pa 0.167 0.833 0.500
Pa 0.833 0.167 0.500
P 0.087 0.428 0.286
P 0.230 0.230 0.714
P 0.428 0.087 0.286
P 0.572 0.913 0.714
P 0.770 0.770 0.286
P 0.913 0.572 0.714

---

Below is a geometry-optimized NbNi3Pt6 structure, with properties calculated at the PBE level.

Output
Magnetic moment ... 0.256 μB/atom
DFT formation energy ... -263.4 meV/atom
VASP energy ... -0.487 Ry per atom
Symmetry ... No. 11

a = 8.500 Å, b = 3.919 Å, c = 8.794 Å
α = 90.00°, β = 92.39°, γ = 90.00°
Fractional coordinates of all 20 atoms:
Nb 0.064 0.250 0.383
Nb 0.936 0.750 0.617
Ni 0.257 0.250 0.000
Ni 0.350 0.750 0.810
Ni 0.448 0.250 0.608
Ni 0.552 0.750 0.392
Ni 0.650 0.250 0.190
Ni 0.743 0.750 0.000
Pt 0.059 0.750 0.903
Pt 0.151 0.250 0.700
Pt 0.159 0.750 0.204
Pt 0.257 0.750 0.512
Pt 0.370 0.250 0.310
Pt 0.458 0.750 0.099
Pt 0.542 0.250 0.901
Pt 0.630 0.750 0.690
Pt 0.743 0.250 0.488
Pt 0.841 0.250 0.796
Pt 0.849 0.750 0.300
Pt 0.941 0.250 0.097

---

Below is a geometry-optimized GeH2Au2 structure, with properties calculated at the PBE level.

Output
Magnetic moment ... 0.000 μB/atom
VASP energy ... -0.235 Ry per atom
Symmetry ... No. 127
ΔE to the lowest computed polymorph ... 0.000 eV/atom

a = 7.229 Å, b = 7.229 Å, c = 2.806 Å
α = 90.00°, β = 90.00°, γ = 90.00°
Fractional coordinates of all 10 atoms:
Ge 0.000 0.000 0.000
Ge 0.500 0.500 0.000
H 0.249 0.251 0.000
H 0.251 0.751 0.000
H 0.749 0.249 0.000
H 0.751 0.749 0.000
Au 0.142 0.358 0.500
Au 0.358 0.858 0.500
Au 0.642 0.142 0.500
Au 0.858 0.642 0.500

---

Below is a geometry-optimized Na2AsPbF structure, with properties calculated at the PBE level.

Output
Magnetic moment ... 0.000 μB/atom
VASP energy ... -0.266 Ry per atom
Symmetry ... No. 123
Uncorrected formation energy ... -1045.5 meV per atom

a = 4.523 Å, b = 4.523 Å, c = 5.295 Å
α = 90.00°, β = 90.00°, γ = 90.00°
Fractional coordinates of all 5 atoms:
Na 0.000 0.500 0.000
Na 0.500 0.000 0.000
As 0.000 0.000 0.500
Pb 0.500 0.500 0.500
F 0.500 0.500 0.000

---

Below is a geometry-optimized BaSrGa structure, with properties calculated at the PBE level.

Output
Magnetic moment ... 0.000 μB/atom
DFT formation energy ... -259.5 meV/atom
VASP energy ... -0.182 Ry per atom
Symmetry ... No. 62
ΔE to the lowest computed polymorph ... 0.009 eV/atom

a = 8.173 Å, b = 4.059 Å, c = 14.653 Å
α = 90.00°, β = 90.00°, γ = 90.00°
Fractional coordinates of all 12 atoms:
Ba 0.134 0.250 0.115
Ba 0.366 0.750 0.615
Ba 0.634 0.250 0.385
Ba 0.866 0.750 0.885
Sr 0.123 0.250 0.372
Sr 0.377 0.750 0.872
Sr 0.623 0.250 0.128
Sr 0.877 0.750 0.628
Ga 0.123 0.250 0.756
Ga 0.377 0.750 0.256
Ga 0.623 0.250 0.744
Ga 0.877 0.750 0.244

---

Below is a geometry-optimized Zr2BeZn structure, with properties calculated at the PBE level.

Output
Magnetic moment ... 0.000 μB/atom
DFT formation energy ... 104.1 meV/atom
VASP energy ... -0.398 Ry per atom
Symmetry ... No. 12
ΔE to the lowest computed polymorph ... 0.280 eV/atom

a = 4.290 Å, b = 4.290 Å, c = 5.926 Å
α = 102.29°, β = 102.29°, γ = 45.34°
Fractional coordinates of all 4 atoms:
Zr 0.242 0.242 0.228
Zr 0.758 0.758 0.772
Be 0.500 0.500 0.000
Zn 0.000 0.000 0.500

---

Below is a geometry-optimized SrCrNi structure, with properties calculated at the PBE level.

Output
Magnetic moment ... 0.721 μB/atom
DFT formation energy ... 320.8 meV/atom
VASP energy ... -0.395 Ry per atom
Symmetry ... No. 129
ΔE to the lowest computed polymorph ... 0.000 eV/atom

a = 4.113 Å, b = 4.113 Å, c = 8.361 Å
α = 90.00°, β = 90.00°, γ = 90.00°
Fractional coordinates of all 6 atoms:
Sr 0.250 0.250 0.191
Sr 0.750 0.750 0.809
Cr 0.250 0.750 0.500
Cr 0.750 0.250 0.500
Ni 0.250 0.250 0.640
Ni 0.750 0.750 0.360

---

Below is a geometry-optimized CdP2O2 structure, with properties calculated at the PBE level.

Output
Magnetic moment ... 0.000 μB/atom
VASP energy ... -0.352 Ry per atom
Symmetry ... No. 123
Uncorrected formation energy ... -455.1 meV per atom
ΔE to the lowest computed polymorph ... 0.000 eV/atom

a = 3.586 Å, b = 3.586 Å, c = 4.862 Å
α = 90.00°, β = 90.00°, γ = 90.00°
Fractional coordinates of all 5 atoms:
Cd 0.000 0.000 0.000
P 0.500 0.500 0.000
P 0.500 0.500 0.500
O 0.000 0.500 0.500
O 0.500 0.000 0.500

---

Below is a geometry-optimized MoOsSe structure, with properties calculated at the PBE level.

Output
Magnetic moment ... 0.000 μB/atom
VASP energy ... -0.598 Ry per atom
Symmetry ... No. 156
Uncorrected formation energy ... 376.6 meV per atom
ΔE to the lowest computed polymorph ... 0.175 eV/atom

a = 4.258 Å, b = 4.258 Å, c = 2.959 Å
α = 90.00°, β = 90.00°, γ = 120.00°
Fractional coordinates of all 3 atoms:
Mo 0.000 0.000 0.000
Os 0.667 0.333 0.507
Se 0.333 0.667 0.734

---

Below is a geometry-optimized ReRh2F structure, with properties calculated at the PBE level.

Output
Magnetic moment ... 0.000 μB/atom
VASP energy ... -0.521 Ry per atom
Symmetry ... No. 225
Uncorrected formation energy ... 162.8 meV per atom
ΔE to the lowest computed polymorph ... 0.000 eV/atom

a = 4.263 Å, b = 4.263 Å, c = 4.263 Å
α = 60.00°, β = 60.00°, γ = 60.00°
Fractional coordinates of all 4 atoms:
Re 0.000 0.000 0.000
Rh 0.250 0.250 0.250
Rh 0.750 0.750 0.750
F 0.500 0.500 0.500

---

Below is a geometry-optimized Y3ZnNi structure, with properties calculated at the PBE level.

Output
Magnetic moment ... 0.000 μB/atom
DFT formation energy ... 8.0 meV/atom
VASP energy ... -0.388 Ry per atom
Symmetry ... No. 221
ΔE to the lowest computed polymorph ... 0.268 eV/atom

a = 5.204 Å, b = 5.204 Å, c = 5.204 Å
α = 90.00°, β = 90.00°, γ = 90.00°
Fractional coordinates of all 5 atoms:
Y 0.000 0.000 0.500
Y 0.000 0.500 0.000
Y 0.500 0.000 0.000
Zn 0.500 0.500 0.500
Ni 0.000 0.000 0.000

---

Below is a geometry-optimized FeRe2Rh structure, with properties calculated at the PBE level.

Output
Magnetic moment ... 0.527 μB/atom
DFT formation energy ... 55.1 meV/atom
VASP energy ... -0.744 Ry per atom
Symmetry ... No. 12
ΔE to the lowest computed polymorph ... 0.064 eV/atom

a = 4.686 Å, b = 4.686 Å, c = 4.672 Å
α = 99.56°, β = 99.56°, γ = 33.69°
Fractional coordinates of all 4 atoms:
Fe 0.000 0.000 0.000
Re 0.250 0.250 0.754
Re 0.750 0.750 0.246
Rh 0.500 0.500 0.500

---

Below is a geometry-optimized YSbTeN2 structure, with properties calculated at the PBE level.

Output
Magnetic moment ... 0.000 μB/atom
VASP energy ... -0.403 Ry per atom
Symmetry ... No. 123
Uncorrected formation energy ... 598.0 meV per atom
ΔE to the lowest computed polymorph ... 0.000 eV/atom

a = 4.228 Å, b = 4.228 Å, c = 5.725 Å
α = 90.00°, β = 90.00°, γ = 90.00°
Fractional coordinates of all 5 atoms:
Y 0.000 0.000 0.000
Sb 0.500 0.500 0.500
Te 0.500 0.500 0.000
N 0.000 0.500 0.500
N 0.500 0.000 0.500

---

Below is a geometry-optimized Co2Cu2Si structure, with properties calculated at the PBE level.

Output
Magnetic moment ... 0.074 μB/atom
VASP energy ... -0.408 Ry per atom
Symmetry ... No. 127
Uncorrected formation energy ... 13.2 meV per atom

a = 5.631 Å, b = 5.631 Å, c = 3.857 Å
α = 90.00°, β = 90.00°, γ = 90.00°
Fractional coordinates of all 10 atoms:
Co 0.140 0.360 0.000
Co 0.360 0.860 0.000
Co 0.640 0.140 0.000
Co 0.860 0.640 0.000
Cu 0.164 0.664 0.500
Cu 0.336 0.164 0.500
Cu 0.664 0.836 0.500
Cu 0.836 0.336 0.500
Si 0.000 0.000 0.000
Si 0.500 0.500 0.000

---

Below is a geometry-optimized Ti2InNi structure, with properties calculated at the PBE level.

Output
Magnetic moment ... 0.198 μB/atom
DFT formation energy ... -231.2 meV/atom
VASP energy ... -0.464 Ry per atom
Symmetry ... No. 123
ΔE to the lowest computed polymorph ... 0.000 eV/atom

a = 2.912 Å, b = 2.912 Å, c = 7.767 Å
α = 90.00°, β = 90.00°, γ = 90.00°
Fractional coordinates of all 4 atoms:
Ti 0.000 0.000 0.207
Ti 0.000 0.000 0.793
In 0.500 0.500 0.500
Ni 0.500 0.500 0.000

---

Below is a geometry-optimized PrNd3Y6Sc2 structure, with properties calculated at the PBE level.

Output
Magnetic moment ... 0.000 μB/atom
DFT formation energy ... 41.1 meV/atom
VASP energy ... -0.429 Ry per atom
Symmetry ... No. 12

a = 6.169 Å, b = 6.169 Å, c = 11.785 Å
α = 94.99°, β = 94.99°, γ = 119.98°
Fractional coordinates of all 12 atoms:
Pr 0.000 0.000 0.000
Nd 0.167 0.833 0.500
Nd 0.500 0.500 0.500
Nd 0.833 0.167 0.500
Y 0.082 0.418 0.244
Y 0.255 0.255 0.756
Y 0.418 0.082 0.244
Y 0.582 0.918 0.756
Y 0.745 0.745 0.244
Y 0.918 0.582 0.756
Sc 0.333 0.667 0.000
Sc 0.667 0.333 0.000

---

Below is a geometry-optimized MgTi2O5 structure, with properties calculated at the PBE level.

Output
Magnetic moment ... 0.000 μB/atom
VASP energy ... -0.602 Ry per atom
Symmetry ... No. 63
Uncorrected formation energy ... -2919.0 meV per atom
ΔE to the lowest computed polymorph ... 0.071 eV/atom

a = 5.405 Å, b = 5.405 Å, c = 11.455 Å
α = 90.00°, β = 90.00°, γ = 139.63°
Fractional coordinates of all 16 atoms:
Mg 0.101 0.899 0.750
Mg 0.899 0.101 0.250
Ti 0.204 0.796 0.098
Ti 0.204 0.796 0.402
Ti 0.796 0.204 0.598
Ti 0.796 0.204 0.902
O 0.041 0.959 0.129
O 0.041 0.959 0.371
O 0.237 0.763 0.577
O 0.237 0.763 0.923
O 0.301 0.699 0.250
O 0.699 0.301 0.750
O 0.763 0.237 0.077
O 0.763 0.237 0.423
O 0.959 0.041 0.629
O 0.959 0.041 0.871